1.
Material: YGa6Co2
Method: DFT, PBE-GGA
State: optimized geometry

**Formation enthalpy at 0 K**: 114 meV per atom
**Total energy**: -302.492 eV for the cell shown

a b c (Å): 11.420 11.420 11.420
angles (deg): 90.00 90.00 90.00
Space group Fd-3m (No. 227, origin choice 2)
One atom of each set of equivalent atoms:
Y: 0.125 0.125 0.125 x8
Ga: 0.102 0.375 0.875 x48
Co: 0.000 0.000 0.500 x16

***

2.
Material: RbMnNiAu2
Method: DFT, PBE-GGA
State: optimized geometry

**Formation enthalpy at 0 K**: 2524 meV per atom
**Total energy**: -9.854 eV for the cell shown

a b c (Å): 5.554 5.554 4.656
angles (deg): 90.00 90.00 90.00
Space group P4/mmm (No. 123)
One atom of each set of equivalent atoms:
Rb: 0.000 0.000 0.000 x1
Mn: 0.000 0.000 0.500 x1
Ni: 0.500 0.500 0.500 x1
Au: 0.000 0.500 0.000 x2

***

3.
Material: CsPaCu2Cl8
Method: DFT, PBE-GGA
State: optimized geometry

**E_form (uncorrected)**: -1.35 eV per atom
**Total energy**: -148.531 eV for the cell shown

a b c (Å): 6.2475 6.2475 35.3116
angles (deg): 90.00 90.00 120.00
Space group R32 (No. 155, hexagonal axes)
One atom of each set of equivalent atoms:
Cs: 0.0000 0.0000 0.0000 x3
Pa: 0.0000 0.0000 0.5000 x3
Cu: 0.0000 0.0000 0.2434 x6
Cl: 0.0000 0.0000 0.3050 x6
Cl: 0.0011 0.3200 0.4525 x18

***

4.
Material: Pm19Dy6Tm4
Method: DFT, PBE-GGA
State: optimized geometry

**Formation enthalpy at 0 K**: 363 meV per atom
**Total energy**: -250.455 eV for the cell shown

a b c (Å): 12.599 12.599 12.599
angles (deg): 90.00 90.00 90.00
Space group I23 (No. 197)
One atom of each set of equivalent atoms:
Pm: 0.000 0.000 0.000 x2
Pm: 0.000 0.000 0.260 x12
Pm: 0.063 0.281 0.739 x24
Dy: 0.000 0.126 0.500 x12
Tm: 0.180 0.180 0.180 x8

***

5.
Material: GaNi4Ge2
Method: DFT, PBE-GGA
State: optimized geometry

**E above lowest polymorph**: 0.000 eV per atom
**Formation enthalpy at 0 K**: -174 meV per atom
**Total energy**: -146.410 eV for the cell shown

a b c (Å): 3.982 11.519 8.079
angles (deg): 90.00 90.00 90.00
Space group Cmcm (No. 63)
One atom of each set of equivalent atoms:
Ga: 0.000 0.176 0.250 x4
Ni: 0.000 0.000 0.000 x4
Ni: 0.000 0.225 0.596 x8
Ni: 0.000 0.437 0.750 x4
Ge: 0.000 0.393 0.076 x8

***

6.
Material: Be2VCl
Method: DFT, PBE-GGA
State: optimized geometry

**E above lowest polymorph**: 0.000 eV per atom
**E_form (uncorrected)**: 0.65 eV per atom
**Total energy**: -63.248 eV for the cell shown

a b c (Å): 6.563 6.563 4.664
angles (deg): 90.00 90.00 90.00
Space group I-42d (No. 122)
One atom of each set of equivalent atoms:
Be: 0.223 0.250 0.125 x8
V: 0.000 0.000 0.500 x4
Cl: 0.000 0.000 0.000 x4

***

7.
Material: TbSmAl3
Method: DFT, PBE-GGA
State: optimized geometry

**Formation enthalpy at 0 K**: -449 meV per atom
**Total energy**: -91.294 eV for the cell shown

a b c (Å): 3.651 27.766 4.556
angles (deg): 90.00 90.00 90.00
Space group Cmcm (No. 63)
One atom of each set of equivalent atoms:
Tb: 0.000 0.211 0.250 x4
Sm: 0.000 0.072 0.750 x4
Al: 0.000 0.329 0.250 x4
Al: 0.000 0.381 0.750 x4
Al: 0.000 0.476 0.750 x4

***

8.
Material: Mn2AgP
Method: DFT, PBE-GGA
State: optimized geometry

**Formation enthalpy at 0 K**: 81 meV per atom
**Total energy**: -52.550 eV for the cell shown

a b c (Å): 6.707 3.879 5.143
angles (deg): 90.00 115.93 90.00
Space group C2/m (No. 12)
One atom of each set of equivalent atoms:
Mn: 0.209 0.000 0.127 x4
Ag: 0.000 0.000 0.500 x2
P: 0.000 0.500 0.000 x2

***

9.
Material: Ga3RuRh2
Method: DFT, PBE-GGA
State: optimized geometry

**Formation enthalpy at 0 K**: -593 meV per atom
**Total energy**: -36.616 eV for the cell shown

a b c (Å): 3.039 3.039 9.044
angles (deg): 90.00 90.00 90.00
Space group P4/mmm (No. 123)
One atom of each set of equivalent atoms:
Ga: 0.000 0.000 0.000 x1
Ga: 0.000 0.000 0.339 x2
Ru: 0.500 0.500 0.500 x1
Rh: 0.500 0.500 0.165 x2

***

10.
Material: AlAsAu
Method: DFT, PBE-GGA
State: optimized geometry

**E above lowest polymorph**: 0.017 eV per atom
**Formation enthalpy at 0 K**: -88 meV per atom
**Total energy**: -11.932 eV for the cell shown

a b c (Å): 3.7270 3.7270 4.7821
angles (deg): 90.00 90.00 120.00
Space group P3m1 (No. 156)
One atom of each set of equivalent atoms:
Al: 0.0000 0.0000 0.0000 x1
As: 0.6667 0.3333 0.3162 x1
Au: 0.3333 0.6667 0.6795 x1

***

11.
Material: Na2LiNpO6
Method: DFT, PBE-GGA
State: optimized geometry

**E_form (uncorrected)**: -1.85 eV per atom
**Total energy**: -131.516 eV for the cell shown

a b c (Å): 5.618 5.687 9.706
angles (deg): 90.00 124.79 90.00
Space group P2_1/c (No. 14)
One atom of each set of equivalent atoms:
Na: 0.239 0.038 0.247 x4
Li: 0.000 0.000 0.500 x2
Np: 0.500 0.000 0.000 x2
O: 0.181 0.198 0.963 x4
O: 0.263 0.720 0.956 x4
O: 0.339 0.028 0.760 x4

***

12.
Material: HoScCd5
Method: DFT, PBE-GGA
State: optimized geometry

**Formation enthalpy at 0 K**: -80 meV per atom
**Total energy**: -16.048 eV for the cell shown

a b c (Å): 4.986 4.986 6.892
angles (deg): 90.00 90.00 90.00
Space group P4/mmm (No. 123)
One atom of each set of equivalent atoms:
Ho: 0.000 0.000 0.000 x1
Sc: 0.500 0.500 0.500 x1
Cd: 0.000 0.500 0.278 x4
Cd: 0.500 0.500 0.000 x1